# 1
# LiY4Zn

An optimized crystal structure of LiY4Zn (PBE-GGA, Alexandria via LeMat-Bulk). Values from VASP.

Quantum ESPRESSO input file:
```
&SYSTEM
  ibrav = 0, nat = 6, ntyp = 3
/
ATOMIC_SPECIES
Zn 65.41 Zn.upf
Y 88.91 Y.upf
Li 6.94 Li.upf
CELL_PARAMETERS angstrom
3.419 -4.746 -2.565
-2.934 -4.669 -3.223
0.652 -0.401 -6.341
ATOMIC_POSITIONS crystal
Zn 0.750 0.750 0.750
Y 0.872 0.376 0.376
Y 0.376 0.872 0.376
Li 0.000 0.000 0.000
Y 0.376 0.376 0.872
Y 0.376 0.376 0.376
```

Calculated values
**Final energy**: -26.1 eV per cell
**Energy above the lowest structure with this stoichiometry**: 246 meV per atom
**N(E_F)**: 6.63 states/eV per cell

=====

# 2
# Li2YZn2

An optimized crystal structure of Li2YZn2 (PBE-GGA, Alexandria via LeMat-Bulk). Values from VASP.

Quantum ESPRESSO input file:
```
&SYSTEM
  ibrav = 0, nat = 5, ntyp = 3
/
ATOMIC_SPECIES
Li 6.94 Li.upf
Zn 65.41 Zn.upf
Y 88.91 Y.upf
CELL_PARAMETERS angstrom
3.931 0.000 0.000
0.000 3.931 0.000
1.965 1.965 6.370
ATOMIC_POSITIONS crystal
Li 0.250 0.750 0.500
Zn 0.397 0.397 0.206
Y 0.000 0.000 0.000
Li 0.750 0.250 0.500
Zn 0.603 0.603 0.794
```

Calculated values
**Final energy**: -13.7 eV per cell
**Energy above the lowest structure with this stoichiometry**: 23 meV per atom
**N(E_F)**: 3.41 states/eV per cell